#a
TbHo2Tc: optimized geometry, PBE.

Summary:
total moment = 0.000 μB per formula unit
space-group type = Cmcm (63)

abc: 3.8997 6.2608 9.1454
angles: 90.00 90.00 108.16
Atoms (fractional coordinates):
Tc 0.2609 0.5215 0.2500
Tc 0.7391 0.4785 0.7500
Ho 0.6450 0.2900 0.4334
Ho 0.3550 0.7100 0.9334
Ho 0.6450 0.2900 0.0666
Ho 0.3550 0.7100 0.5666
Tb 0.0723 0.1445 0.7500
Tb 0.9277 0.8555 0.2500

=====

#b
TbHo2Tc: optimized geometry, PBE.

Summary:
total moment = 0.000 μB per formula unit
space-group type = P4/mmm (123)

abc: 3.4452 3.4452 8.8604
angles: 90.00 90.00 90.00
Atoms (fractional coordinates):
Tb 0.5000 0.5000 0.5000
Ho 0.0000 0.0000 0.8152
Ho 0.0000 0.0000 0.1848
Tc 0.5000 0.5000 0.0000

=====

Of them, #a has the highest stability.

=====

#a
TbHo3Tc: optimized geometry, PBE.

Summary:
total moment = 0.000 μB per formula unit
space-group type = P2_1/m (11)

abc: 3.7675 8.6221 8.6274
angles: 101.87 90.00 90.00
Atoms (fractional coordinates):
Tb 0.2500 0.6687 0.5108
Tb 0.7500 0.3313 0.4892
Ho 0.2500 0.0764 0.6805
Ho 0.7500 0.5254 0.1658
Ho 0.2500 0.1597 0.1137
Ho 0.2500 0.4746 0.8342
Ho 0.7500 0.8403 0.8863
Ho 0.7500 0.9236 0.3195
Tc 0.2500 0.7624 0.1008
Tc 0.7500 0.2376 0.8992

=====

#b
TbHo3Tc: optimized geometry, PBE.

Summary:
total moment = 0.000 μB per formula unit
space-group type = Cm (8)

abc: 3.8846 6.3218 12.0036
angles: 81.84 80.69 72.11
Atoms (fractional coordinates):
Ho 0.7867 0.0414 0.3852
Ho 0.4261 0.6231 0.5246
Ho 0.1004 0.1778 0.6213
Ho 0.4538 0.9441 0.1483
Ho 0.9833 0.1302 0.9032
Ho 0.7578 0.7251 0.7593
Tb 0.1117 0.4883 0.2882
Tb 0.2278 0.5402 0.0043
Tc 0.4254 0.3909 0.7582
Tc 0.7876 0.2757 0.1490

=====

Of them, #b has the highest stability.

=====

#a
TbHo2Te: optimized geometry, PBE.

Summary:
total moment = 0.000 μB per formula unit
space-group type = P4/mmm (123)

abc: 3.8459 3.8459 7.8996
angles: 90.00 90.00 90.00
Atoms (fractional coordinates):
Tb 0.5000 0.5000 0.5000
Ho 0.0000 0.0000 0.7753
Ho 0.0000 0.0000 0.2247
Te 0.5000 0.5000 0.0000

=====

#b
TbHo2Te: optimized geometry, PBE.

Summary:
total moment = 0.000 μB per formula unit
space-group type = Cmcm (63)

abc: 3.9337 6.3496 9.8260
angles: 90.00 90.00 108.04
Atoms (fractional coordinates):
Ho 0.3648 0.7299 0.5365
Ho 0.3648 0.7299 0.9635
Ho 0.6352 0.2701 0.4635
Ho 0.6352 0.2701 0.0365
Te 0.2344 0.4687 0.2500
Te 0.7656 0.5313 0.7500
Tb 0.9440 0.8878 0.2500
Tb 0.0560 0.1122 0.7500

=====

Of them, #b has the highest stability.